No. 1
VASP calculation (GGA-PBE) on crystalline TaCuRu2 at its relaxed geometry.

Results
DFT formation energy: -0.146 eV/atom

Lattice parameters (Å, degrees): 3.6504 3.9715 3.9715 90.00 90.00 90.00
Closest atoms and distances in Å follow each position.
Atoms (fractional coordinates):
Cu 0.5000 0.0000 0.0000  8 Ru 2.70, 4 Ta 2.81
Ta 0.5000 0.5000 0.5000  8 Ru 2.70, 4 Cu 2.81
Ru 0.0000 0.5000 0.0000  4 Ta 2.70, 4 Cu 2.70, 4 Ru 2.81
Ru 0.0000 0.0000 0.5000  4 Ta 2.70, 4 Cu 2.70, 4 Ru 2.81



No. 2
VASP calculation (GGA-PBE) on crystalline DyHo3Fe at its relaxed geometry.

Results
DFT formation energy: 0.112 eV/atom

Lattice parameters (Å, degrees): 5.2379 5.2379 5.2379 90.00 90.00 90.00
Closest atoms and distances in Å follow each position.
Atoms (fractional coordinates):
Ho 0.0000 0.5000 0.0000  2 Fe 2.62
Dy 0.5000 0.5000 0.5000  12 Ho 3.70
Ho 0.0000 0.0000 0.5000  2 Fe 2.62
Fe 0.0000 0.0000 0.0000  6 Ho 2.62
Ho 0.5000 0.0000 0.0000  2 Fe 2.62



No. 3
VASP calculation (GGA-PBE) on crystalline La2DyErTl2 at its relaxed geometry.

Results
DFT formation energy: -0.285 eV/atom

Lattice parameters (Å, degrees): 5.0979 6.9712 10.2698 90.00 90.00 90.00
Closest atoms and distances in Å follow each position.
Atoms (fractional coordinates):
Dy 0.0000 0.9586 0.4577  5 Tl 3.21-3.42, 2 Dy 3.59
La 0.0000 0.8110 0.8221  2 La 3.21, 5 Tl 3.38-3.59
Tl 0.0000 0.7972 0.1512  2 Er 3.14, 1 Dy 3.34, 4 La 3.38-3.40
La 0.0000 0.3110 0.1779  2 La 3.21, 5 Tl 3.38-3.59
Tl 0.0000 0.2972 0.8488  2 Er 3.14, 1 Dy 3.34, 4 La 3.38-3.40
Dy 0.0000 0.4586 0.5423  5 Tl 3.21-3.42, 2 Dy 3.59
La 0.5000 0.0895 0.0614  2 La 3.21, 3 Tl 3.39-3.50
Er 0.5000 0.6684 0.3074  4 Tl 3.12-3.23
Tl 0.5000 0.7210 0.6092  2 Er 3.12-3.23, 4 Dy 3.21-3.42, 2 La 3.42
La 0.5000 0.5895 0.9386  2 La 3.21, 3 Tl 3.39-3.50
Er 0.5000 0.1684 0.6926  4 Tl 3.12-3.23
Tl 0.5000 0.2210 0.3908  2 Er 3.12-3.23, 4 Dy 3.21-3.42, 2 La 3.42



No. 4
VASP calculation (GGA-PBE) on crystalline Sr2Si2Ag at its relaxed geometry.

Results
Raw formation energy: -0.02 eV/atom

Lattice parameters (Å, degrees): 6.2026 6.2026 5.7677 57.47 57.47 90.00
Closest atoms and distances in Å follow each position.
Atoms (fractional coordinates):
Si 0.6560 0.6560 0.6880  1 Si 2.34, 1 Ag 2.58
Sr 0.2500 0.7500 0.5000  4 Si 3.18
Sr 0.7500 0.2500 0.5000  4 Si 3.18
Si 0.3440 0.3440 0.3120  1 Si 2.34, 1 Ag 2.58
Ag 0.0000 0.0000 0.0000  2 Si 2.58



No. 5
VASP calculation (GGA-PBE) on crystalline Te3OsPb at its relaxed geometry.

Results
Raw formation energy: 1.84 eV/atom

Lattice parameters (Å, degrees): 5.7795 5.7795 5.7795 90.00 90.00 90.00
Closest atoms and distances in Å follow each position.
Atoms (fractional coordinates):
Te 0.0000 0.0000 0.5000  2 Pb 2.89
Os 0.5000 0.5000 0.5000  12 Te 4.09
Te 0.5000 0.0000 0.0000  2 Pb 2.89
Te 0.0000 0.5000 0.0000  2 Pb 2.89
Pb 0.0000 0.0000 0.0000  6 Te 2.89



| no. | DOS(E_F) (states/eV per cell) |
| --- | --- |
| 1 | 4.07 |
| 2 | 7.95 |
| 3 | 11.44 |
| 4 | 4.27 |
| 5 | 7.97 |